Entry 1:
# PmEr7Sc2, optimized geometry, DFT PBE
data_PmEr7Sc2
_chemical_formula_sum 'Pm1 Er7 Sc2'
_symmetry_space_group_name_H-M 'P 1'
_symmetry_Int_Tables_number 1
_cell_length_a 6.0201
_cell_length_b 9.1871
_cell_length_c 7.7722
_cell_angle_alpha 114.96
_cell_angle_beta 49.62
_cell_angle_gamma 102.56
loop_
_symmetry_equiv_pos_as_xyz
'x,y,z'
loop_
_atom_site_label
_atom_site_type_symbol
_atom_site_fract_x
_atom_site_fract_y
_atom_site_fract_z
Sc1 Sc 0.3988 0.1998 0.6008
Sc2 Sc 0.6012 0.8002 0.3992
Er1 Er 0.0988 0.2999 0.4029
Er2 Er 0.5000 0.5000 0.0000
Er3 Er 0.9012 0.7001 0.5971
Er4 Er 0.1999 0.5996 0.8000
Er5 Er 0.3005 0.9001 0.2036
Er6 Er 0.8001 0.4004 0.2000
Er7 Er 0.6995 0.0999 0.7964
Pm1 Pm 0.0000 0.0000 0.0000
# Excess energy over the best structure of this formula in the dataset = 0.0 meV/atom
# SG = P-1, No. 2


Entry 2:
# PmEr2Sc9, optimized geometry, DFT PBE
data_PmEr2Sc9
_chemical_formula_sum 'Pm1 Er2 Sc9'
_symmetry_space_group_name_H-M 'P 1'
_symmetry_Int_Tables_number 1
_cell_length_a 3.3047
_cell_length_b 10.5020
_cell_length_c 10.5020
_cell_angle_alpha 120.00
_cell_angle_beta 90.00
_cell_angle_gamma 90.00
loop_
_symmetry_equiv_pos_as_xyz
'x,y,z'
loop_
_atom_site_label
_atom_site_type_symbol
_atom_site_fract_x
_atom_site_fract_y
_atom_site_fract_z
Sc1 Sc 0.5000 0.1772 0.8228
Sc2 Sc 0.5000 0.1772 0.3545
Sc3 Sc 0.5000 0.8228 0.1772
Sc4 Sc 0.5000 0.6455 0.8228
Sc5 Sc 0.0000 0.5000 0.0000
Sc6 Sc 0.5000 0.3545 0.1772
Sc7 Sc 0.5000 0.8228 0.6455
Sc8 Sc 0.0000 0.0000 0.5000
Sc9 Sc 0.0000 0.5000 0.5000
Er1 Er 0.0000 0.3333 0.6667
Er2 Er 0.0000 0.6667 0.3333
Pm1 Pm 0.0000 0.0000 0.0000
# SG = P6/mmm, No. 191


One value per record, in order, for calculated density: 7.889 4.651 g/cm³.
One value per record, in order, for total DFT energy (no corrections): -0.1799 -0.2146 hartree per atom.